Compound: Ca3Cu2Si3O12
Source: Alexandria via LeMat-Bulk
Functional: PBEsol
Structure: relaxed

Properties
* volume: 862 Å³/cell
* density of states at the Fermi level: 1.77 states/eV per cell
* space-group type: No. 230
* E_form (uncorrected): -2.342 eV/atom

Unit cell a=10.385 b=10.385 c=10.385 alpha=109.47 beta=109.47 gamma=109.47
Element x y z (fractional)
Ca 0.125 0.250 0.375
Ca 0.125 0.375 0.750
Ca 0.250 0.375 0.125
Ca 0.250 0.875 0.625
Ca 0.375 0.125 0.250
Ca 0.375 0.750 0.125
Ca 0.625 0.250 0.875
Ca 0.625 0.875 0.750
Ca 0.750 0.125 0.375
Ca 0.750 0.625 0.875
Ca 0.875 0.625 0.250
Ca 0.875 0.750 0.625
Cu 0.000 0.000 0.000
Cu 0.000 0.000 0.500
Cu 0.000 0.500 0.000
Cu 0.000 0.500 0.500
Cu 0.500 0.000 0.000
Cu 0.500 0.000 0.500
Cu 0.500 0.500 0.000
Cu 0.500 0.500 0.500
Si 0.125 0.750 0.875
Si 0.125 0.875 0.250
Si 0.250 0.125 0.875
Si 0.250 0.625 0.375
Si 0.375 0.250 0.625
Si 0.375 0.625 0.750
Si 0.625 0.375 0.250
Si 0.625 0.750 0.375
Si 0.750 0.375 0.625
Si 0.750 0.875 0.125
Si 0.875 0.125 0.750
Si 0.875 0.250 0.125
O 0.011 0.204 0.116
O 0.011 0.307 0.895
O 0.088 0.704 0.693
O 0.088 0.884 0.395
O 0.105 0.616 0.412
O 0.105 0.989 0.693
O 0.116 0.011 0.204
O 0.116 0.605 0.912
O 0.193 0.204 0.588
O 0.193 0.489 0.605
O 0.204 0.116 0.011
O 0.204 0.588 0.193
O 0.296 0.307 0.912
O 0.296 0.489 0.384
O 0.307 0.895 0.011
O 0.307 0.912 0.296
O 0.384 0.296 0.489
O 0.384 0.588 0.895
O 0.395 0.088 0.884
O 0.395 0.807 0.511
O 0.412 0.105 0.616
O 0.412 0.807 0.796
O 0.489 0.384 0.296
O 0.489 0.605 0.193
O 0.511 0.395 0.807
O 0.511 0.616 0.704
O 0.588 0.193 0.204
O 0.588 0.895 0.384
O 0.605 0.193 0.489
O 0.605 0.912 0.116
O 0.616 0.412 0.105
O 0.616 0.704 0.511
O 0.693 0.088 0.704
O 0.693 0.105 0.989
O 0.704 0.511 0.616
O 0.704 0.693 0.088
O 0.796 0.412 0.807
O 0.796 0.884 0.989
O 0.807 0.511 0.395
O 0.807 0.796 0.412
O 0.884 0.395 0.088
O 0.884 0.989 0.796
O 0.895 0.011 0.307
O 0.895 0.384 0.588
O 0.912 0.116 0.605
O 0.912 0.296 0.307
O 0.989 0.693 0.105
O 0.989 0.796 0.884

***

Compound: Be2AlAg
Source: Alexandria via LeMat-Bulk
Functional: PBEsol
Structure: relaxed

Properties
* volume: 52 Å³/cell
* density of states at the Fermi level: 0.90 states/eV per cell
* space-group type: No. 10

Unit cell a=2.734 b=4.146 c=4.559 alpha=90.00 beta=92.07 gamma=90.00
Element x y z (fractional)
Be 0.193 0.000 0.269
Be 0.807 0.000 0.731
Al 0.500 0.500 0.500
Ag 0.000 0.500 0.000

***

| no. | DFT total energy (eV per formula unit) |
| --- | --- |
| 1 | -142.134 |
| 2 | -14.319 |